Record 1
This record from Alexandria describes a geometry-optimized NdUCrO6 structure. The functional is GGA+U.

Computed properties:
Its calculated density is 6.8 Mg/m³. The crystal system is trigonal. The value obtained for the total energy is -8.8285 eV per atom. For the magnetization, the calculation gives 0.333 μB per atom.

```
NdUCrO6
1.0
5.4130 0.0000 0.0000
-2.7065 4.6878 0.0000
0.0000 0.0000 10.2003
Nd U Cr O
2 2 2 12
Direct
0.0000 0.0000 0.0000
0.0000 0.0000 0.5000
0.6667 0.3333 0.2500
0.3333 0.6667 0.7500
0.3333 0.6667 0.2500
0.6667 0.3333 0.7500
0.6380 0.6465 0.1416
0.0085 0.3620 0.1416
0.3620 0.0085 0.6416
0.9915 0.6380 0.8584
0.3535 0.3620 0.3584
0.0085 0.6465 0.3584
0.6465 0.0085 0.8584
0.6380 0.9915 0.3584
0.9915 0.3535 0.6416
0.3535 0.9915 0.1416
0.6465 0.6380 0.6416
0.3620 0.3535 0.8584
```


Record 2
This record from Alexandria describes a geometry-optimized NdV2CrO8 structure. The functional is GGA+U.

Computed properties:
Its calculated density is 4.0 Mg/m³. The crystal system is trigonal. The value obtained for the total energy is -7.7143 eV per atom. For the magnetization, the calculation gives 0.249 μB per atom.

```
NdV2CrO8
1.0
5.7791 0.0000 0.0000
-2.8896 5.0049 0.0000
0.0000 0.0000 6.1106
Nd V Cr O
1 2 1 8
Direct
0.0000 0.0000 0.0000
0.6667 0.3333 0.3718
0.3333 0.6667 0.6282
0.0000 0.0000 0.5000
0.8399 0.1601 0.2883
0.8399 0.6798 0.2883
0.3202 0.1601 0.2883
0.6798 0.8399 0.7117
0.3333 0.6667 0.3628
0.6667 0.3333 0.6372
0.1601 0.8399 0.7117
0.1601 0.3202 0.7117
```


Record 3
This record from Alexandria describes a geometry-optimized NdYCr2O8 structure. The functional is GGA+U.

Computed properties:
Its calculated density is 4.5 Mg/m³. The crystal system is tetragonal. The value obtained for the total energy is -7.7876 eV per atom. For the magnetization, the calculation gives 0.167 μB per atom.

```
NdYCr2O8
1.0
6.0871 -0.0302 0.0000
-2.7269 5.4422 0.0000
-1.6801 -2.7060 5.1873
Nd Y Cr O
1 1 2 8
Direct
0.2500 0.7500 0.5000
0.0000 0.0000 0.0000
0.7500 0.2500 0.5000
0.5000 0.5000 0.0000
0.3969 0.0817 0.3152
0.3253 0.5044 0.1791
0.3253 0.1461 0.8209
0.7666 0.0817 0.6848
0.8539 0.6747 0.1791
0.9183 0.2334 0.3152
0.9183 0.6031 0.6848
0.4956 0.6747 0.8209
```


Record 4
This record from Alexandria describes a geometry-optimized NdZn3Cr4O12 structure. The functional is GGA+U.

Computed properties:
Its calculated density is 5.9 Mg/m³. The crystal system is cubic. The value obtained for the total energy is -6.6695 eV per atom. For the magnetization, the calculation gives 0.450 μB per atom.

```
NdZn3Cr4O12
1.0
-2.0379 5.1129 -3.3974
3.0174 -4.1452 -3.9434
-5.0748 -2.9324 2.7358
Nd Zn Cr O
1 3 4 12
Direct
0.0000 0.0000 0.0000
0.0000 0.5000 0.5000
0.5000 0.5000 0.0000
0.5000 0.0000 0.5000
0.5000 0.0000 0.0000
0.5000 0.5000 0.5000
0.0000 0.5000 0.0000
0.0000 0.0000 0.5000
0.2970 0.8166 0.1136
0.7030 0.1834 0.8864
0.7030 0.8166 0.5197
0.8864 0.7030 0.1834
0.8166 0.1136 0.2970
0.1834 0.4803 0.2970
0.4803 0.2970 0.1834
0.1834 0.8864 0.7030
0.2970 0.1834 0.4803
0.1136 0.2970 0.8166
0.8166 0.5197 0.7030
0.5197 0.7030 0.8166
```